First-principles (PBE) data for a relaxed structure of ZnCoCuMo, as listed in OQMD.

a = 5.9099 Å, b = 5.9099 Å, c = 5.9099 Å
α = 90.00°, β = 90.00°, γ = 90.00°
With the nearest neighbours (Å) after each atom.
Space group F-43m (No. 216)
Inequivalent atoms, fractional coordinates:
Zn: 0.0000 0.0000 0.0000  4 Co 2.56, 4 Mo 2.56
Co: 0.2500 0.2500 0.7500  4 Cu 2.56, 4 Zn 2.56
Cu: 0.0000 0.0000 0.5000  4 Mo 2.56, 4 Co 2.56
Mo: 0.2500 0.2500 0.2500  4 Cu 2.56, 4 Zn 2.56

## Properties
The calculation puts the volume at 12.901 Å³ per atom. The calculation puts the energy above the most stable polymorph in this dataset at 20.8 kJ/mol of atoms.

First-principles (PBE) data for a relaxed structure of LuB, as listed in OQMD.

a = 5.6156 Å, b = 5.6156 Å, c = 5.6156 Å
α = 90.00°, β = 90.00°, γ = 90.00°
With the nearest neighbours (Å) after each atom.
Space group F-43m (No. 216)
Inequivalent atoms, fractional coordinates:
Lu: 0.0000 0.0000 0.0000  4 B 2.43
B: 0.2500 0.2500 0.2500  4 Lu 2.43

## Properties
The calculation puts the volume at 22.136 Å³ per atom. The calculation puts the energy above the most stable polymorph in this dataset at 71.6 kJ/mol of atoms.

First-principles (PBE) data for a relaxed structure of SmPuPa, as listed in OQMD.

a = 7.1940 Å, b = 7.1940 Å, c = 7.1940 Å
α = 90.00°, β = 90.00°, γ = 90.00°
With the nearest neighbours (Å) after each atom.
Space group F-43m (No. 216)
Inequivalent atoms, fractional coordinates:
Sm: 0.0000 0.0000 0.0000  4 Pa 3.12, 4 Pu 3.12
Pu: 0.2500 0.2500 0.2500  4 Sm 3.12
Pa: 0.2500 0.2500 0.7500  4 Sm 3.12

## Properties
The calculation puts the volume at 31.026 Å³ per atom. The total energy is -8.341 eV/atom.

First-principles (PBE) data for a relaxed structure of ScGe2Pd, as listed in OQMD.

a = 6.5728 Å, b = 6.5728 Å, c = 6.5728 Å
α = 90.00°, β = 90.00°, γ = 90.00°
With the nearest neighbours (Å) after each atom.
Space group F-43m (No. 216)
Inequivalent atoms, fractional coordinates:
Sc: 0.0000 0.0000 0.0000  4 Pd 2.85, 4 Ge 2.85
Ge: 0.0000 0.0000 0.5000  4 Ge 2.85, 4 Pd 2.85
Ge: 0.2500 0.2500 0.7500  4 Ge 2.85, 4 Sc 2.85
Pd: 0.2500 0.2500 0.2500  4 Ge 2.85, 4 Sc 2.85

## Properties
The calculation puts the volume at 17.747 Å³ per atom. The total energy is -5.579 eV/atom.